LaNbCuMo2 | PBE-GGA | optimized geometry

Cell lengths 4.769, 5.555, 4.769 Å; angles 90.00, 90.00, 90.00 degrees
Element x y z (fractional)
1 Nb 0.000 0.000 0.000
2 La 0.000 0.500 0.000
3 Mo 0.500 0.000 0.000
4 Mo 0.000 0.000 0.500
5 Cu 0.500 0.500 0.500

Results
**SG**: No. 123
**Density of states at the Fermi level**: 4.50 states/eV/f.u.
**Calculated formation energy**: 1.536 eV/atom
**Calculated volume**: 25.26 A^3/atom
**DFT total energy**: -6.6149 eV per atom